First-principles (PBE-GGA) data for Pr3Sm2Ag2 after structural relaxation, as listed in Alexandria via LeMat-Bulk.

CIF file:
```
data_Pr3Sm2Ag2
_chemical_formula_sum 'Pr6 Sm4 Ag4'
_symmetry_space_group_name_H-M 'P 1'
_symmetry_Int_Tables_number 1
_cell_length_a 3.707
_cell_length_b 31.914
_cell_length_c 3.671
_cell_angle_alpha 90.00
_cell_angle_beta 90.00
_cell_angle_gamma 90.00
loop_
_symmetry_equiv_pos_as_xyz
'x,y,z'
loop_
_atom_site_label
_atom_site_type_symbol
_atom_site_fract_x
_atom_site_fract_y
_atom_site_fract_z
_atom_site_occupancy
Pr1 Pr 0.000 0.000 0.000 1
Pr2 Pr 0.000 0.123 0.000 1
Pr3 Pr 0.000 0.877 0.000 1
Pr4 Pr 0.500 0.377 0.000 1
Pr5 Pr 0.500 0.500 0.000 1
Pr6 Pr 0.500 0.623 0.000 1
Sm1 Sm 0.000 0.297 0.500 1
Sm2 Sm 0.000 0.703 0.500 1
Sm3 Sm 0.500 0.203 0.500 1
Sm4 Sm 0.500 0.797 0.500 1
Ag1 Ag 0.000 0.438 0.500 1
Ag2 Ag 0.000 0.562 0.500 1
Ag3 Ag 0.500 0.062 0.500 1
Ag4 Ag 0.500 0.938 0.500 1
```

Results
As for the total energy: -0.3138 Ry per atom. For the energy of formation, the calculation gives -58 meV per atom. As for the excess energy over the best structure of this formula in the dataset: 48 meV/atom. For the calculated density, the calculation gives 7.18 g/cm³.

***

First-principles (PBE-GGA) data for FeSi2Au after structural relaxation, as listed in Alexandria via LeMat-Bulk.

CIF file:
```
data_FeSi2Au
_chemical_formula_sum 'Fe3 Si6 Au3'
_symmetry_space_group_name_H-M 'P 1'
_symmetry_Int_Tables_number 1
_cell_length_a 2.993
_cell_length_b 2.993
_cell_length_c 22.784
_cell_angle_alpha 90.00
_cell_angle_beta 90.00
_cell_angle_gamma 120.00
loop_
_symmetry_equiv_pos_as_xyz
'x,y,z'
loop_
_atom_site_label
_atom_site_type_symbol
_atom_site_fract_x
_atom_site_fract_y
_atom_site_fract_z
_atom_site_occupancy
Fe1 Fe 0.000 0.000 0.000 1
Fe2 Fe 0.333 0.667 0.667 1
Fe3 Fe 0.667 0.333 0.333 1
Si1 Si 0.000 0.000 0.262 1
Si2 Si 0.000 0.000 0.514 1
Si3 Si 0.333 0.667 0.181 1
Si4 Si 0.333 0.667 0.929 1
Si5 Si 0.667 0.333 0.596 1
Si6 Si 0.667 0.333 0.847 1
Au1 Au 0.000 0.000 0.761 1
Au2 Au 0.333 0.667 0.428 1
Au3 Au 0.667 0.333 0.095 1
```

Results
As for the total energy: -0.4006 Ry per atom. For the energy relative to the elements, uncorrected, the calculation gives 18.9 kJ/mol of atoms. As for the excess energy over the best structure of this formula in the dataset: 277 meV/atom. For the calculated density, the calculation gives 8.71 g/cm³.

***

First-principles (PBE-GGA) data for GdHo2Sb after structural relaxation, as listed in Alexandria via LeMat-Bulk.

CIF file:
```
data_GdHo2Sb
_chemical_formula_sum 'Gd1 Ho2 Sb1'
_symmetry_space_group_name_H-M 'P 1'
_symmetry_Int_Tables_number 1
_cell_length_a 4.821
_cell_length_b 4.821
_cell_length_c 4.720
_cell_angle_alpha 90.00
_cell_angle_beta 90.00
_cell_angle_gamma 90.00
loop_
_symmetry_equiv_pos_as_xyz
'x,y,z'
loop_
_atom_site_label
_atom_site_type_symbol
_atom_site_fract_x
_atom_site_fract_y
_atom_site_fract_z
_atom_site_occupancy
Gd1 Gd 0.000 0.000 0.000 1
Ho1 Ho 0.000 0.500 0.500 1
Ho2 Ho 0.500 0.000 0.500 1
Sb1 Sb 0.500 0.500 0.000 1
```

Results
As for the total energy: -0.5387 Ry per atom. For the energy relative to the elements, uncorrected, the calculation gives -47.3 kJ/mol of atoms. As for the excess energy over the best structure of this formula in the dataset: 0 meV/atom. For the calculated density, the calculation gives 9.22 g/cm³.

***

First-principles (PBE-GGA) data for Li6GaIr2 after structural relaxation, as listed in Alexandria via LeMat-Bulk.

CIF file:
```
data_Li6GaIr2
_chemical_formula_sum 'Li6 Ga1 Ir2'
_symmetry_space_group_name_H-M 'P 1'
_symmetry_Int_Tables_number 1
_cell_length_a 7.484
_cell_length_b 7.484
_cell_length_c 2.919
_cell_angle_alpha 93.80
_cell_angle_beta 93.80
_cell_angle_gamma 124.03
loop_
_symmetry_equiv_pos_as_xyz
'x,y,z'
loop_
_atom_site_label
_atom_site_type_symbol
_atom_site_fract_x
_atom_site_fract_y
_atom_site_fract_z
_atom_site_occupancy
Li1 Li 0.003 0.650 0.651 1
Li2 Li 0.187 0.187 0.871 1
Li3 Li 0.350 0.997 0.349 1
Li4 Li 0.650 0.003 0.651 1
Li5 Li 0.813 0.813 0.129 1
Li6 Li 0.997 0.350 0.349 1
Ga1 Ga 0.500 0.500 0.500 1
Ir1 Ir 0.348 0.652 0.000 1
Ir2 Ir 0.652 0.348 0.000 1
```

Results
As for the total energy: -0.2741 Ry per atom. For the energy of formation, the calculation gives -147 meV per atom. As for the excess energy over the best structure of this formula in the dataset: 90 meV/atom. For the calculated density, the calculation gives 6.14 g/cm³.

***

First-principles (PBE-GGA) data for Ac2UGe3Rh4 after structural relaxation, as listed in Alexandria via LeMat-Bulk.

CIF file:
```
data_Ac2UGe3Rh4
_chemical_formula_sum 'Ac2 U1 Ge3 Rh4'
_symmetry_space_group_name_H-M 'P 1'
_symmetry_Int_Tables_number 1
_cell_length_a 4.351
_cell_length_b 4.351
_cell_length_c 11.009
_cell_angle_alpha 90.00
_cell_angle_beta 90.00
_cell_angle_gamma 90.00
loop_
_symmetry_equiv_pos_as_xyz
'x,y,z'
loop_
_atom_site_label
_atom_site_type_symbol
_atom_site_fract_x
_atom_site_fract_y
_atom_site_fract_z
_atom_site_occupancy
Ac1 Ac 0.000 0.500 0.234 1
Ac2 Ac 0.500 0.000 0.766 1
U1 U 0.000 0.000 0.500 1
Ge1 Ge 0.000 0.500 0.880 1
Ge2 Ge 0.500 0.000 0.120 1
Ge3 Ge 0.500 0.500 0.500 1
Rh1 Rh 0.000 0.000 0.000 1
Rh2 Rh 0.000 0.500 0.646 1
Rh3 Rh 0.500 0.000 0.354 1
Rh4 Rh 0.500 0.500 0.000 1
```

Results
As for the total energy: -0.5173 Ry per atom. For the energy of formation, the calculation gives -762 meV per atom. For the calculated density, the calculation gives 10.53 g/cm³.

***

First-principles (PBE-GGA) data for B2PC after structural relaxation, as listed in Alexandria via LeMat-Bulk.

CIF file:
```
data_B2PC
_chemical_formula_sum 'B2 P1 C1'
_symmetry_space_group_name_H-M 'P 1'
_symmetry_Int_Tables_number 1
_cell_length_a 2.876
_cell_length_b 2.876
_cell_length_c 5.039
_cell_angle_alpha 90.00
_cell_angle_beta 90.00
_cell_angle_gamma 120.00
loop_
_symmetry_equiv_pos_as_xyz
'x,y,z'
loop_
_atom_site_label
_atom_site_type_symbol
_atom_site_fract_x
_atom_site_fract_y
_atom_site_fract_z
_atom_site_occupancy
B1 B 0.000 0.000 0.000 1
B2 B 0.333 0.667 0.404 1
P1 P 0.000 0.000 0.601 1
C1 C 0.333 0.667 0.094 1
```

Results
As for the total energy: -0.5008 Ry per atom. For the energy of formation, the calculation gives 183 meV per atom. As for the excess energy over the best structure of this formula in the dataset: 108 meV/atom. For the calculated density, the calculation gives 2.97 g/cm³.

***

First-principles (PBE-GGA) data for LaY4Bi5 after structural relaxation, as listed in Alexandria via LeMat-Bulk.

CIF file:
```
data_LaY4Bi5
_chemical_formula_sum 'La1 Y4 Bi5'
_symmetry_space_group_name_H-M 'P 1'
_symmetry_Int_Tables_number 1
_cell_length_a 11.972
_cell_length_b 11.972
_cell_length_c 11.972
_cell_angle_alpha 158.20
_cell_angle_beta 148.93
_cell_angle_gamma 38.28
loop_
_symmetry_equiv_pos_as_xyz
'x,y,z'
loop_
_atom_site_label
_atom_site_type_symbol
_atom_site_fract_x
_atom_site_fract_y
_atom_site_fract_z
_atom_site_occupancy
La1 La 0.000 0.000 0.000 1
Y1 Y 0.203 0.203 0.000 1
Y2 Y 0.400 0.400 0.000 1
Y3 Y 0.600 0.600 0.000 1
Y4 Y 0.797 0.797 0.000 1
Bi1 Bi 0.105 0.605 0.500 1
Bi2 Bi 0.301 0.801 0.500 1
Bi3 Bi 0.500 0.000 0.500 1
Bi4 Bi 0.699 0.199 0.500 1
Bi5 Bi 0.895 0.395 0.500 1
```

Results
As for the total energy: -0.4366 Ry per atom. For the energy of formation, the calculation gives -922 meV per atom. For the calculated density, the calculation gives 7.78 g/cm³.

***

First-principles (PBE-GGA) data for BaTl2CdHg4 after structural relaxation, as listed in Alexandria via LeMat-Bulk.

CIF file:
```
data_BaTl2CdHg4
_chemical_formula_sum 'Ba1 Tl2 Cd1 Hg4'
_symmetry_space_group_name_H-M 'P 1'
_symmetry_Int_Tables_number 1
_cell_length_a 10.092
_cell_length_b 10.092
_cell_length_c 10.092
_cell_angle_alpha 30.45
_cell_angle_beta 30.45
_cell_angle_gamma 30.45
loop_
_symmetry_equiv_pos_as_xyz
'x,y,z'
loop_
_atom_site_label
_atom_site_type_symbol
_atom_site_fract_x
_atom_site_fract_y
_atom_site_fract_z
_atom_site_occupancy
Ba1 Ba 0.000 0.000 0.000 1
Tl1 Tl 0.245 0.245 0.245 1
Tl2 Tl 0.755 0.755 0.755 1
Cd1 Cd 0.500 0.500 0.500 1
Hg1 Hg 0.129 0.129 0.129 1
Hg2 Hg 0.392 0.392 0.392 1
Hg3 Hg 0.608 0.608 0.608 1
Hg4 Hg 0.871 0.871 0.871 1
```

Results
As for the total energy: -0.0942 Ry per atom. For the energy of formation, the calculation gives -185 meV per atom. For the calculated density, the calculation gives 10.37 g/cm³.

***

First-principles (PBE-GGA) data for CuGePd2 after structural relaxation, as listed in Alexandria via LeMat-Bulk.

CIF file:
```
data_CuGePd2
_chemical_formula_sum 'Cu4 Ge4 Pd8'
_symmetry_space_group_name_H-M 'P 1'
_symmetry_Int_Tables_number 1
_cell_length_a 6.871
_cell_length_b 6.871
_cell_length_c 5.383
_cell_angle_alpha 90.00
_cell_angle_beta 90.00
_cell_angle_gamma 90.00
loop_
_symmetry_equiv_pos_as_xyz
'x,y,z'
loop_
_atom_site_label
_atom_site_type_symbol
_atom_site_fract_x
_atom_site_fract_y
_atom_site_fract_z
_atom_site_occupancy
Cu1 Cu 0.000 0.000 0.000 1
Cu2 Cu 0.000 0.500 0.250 1
Cu3 Cu 0.500 0.000 0.750 1
Cu4 Cu 0.500 0.500 0.500 1
Ge1 Ge 0.000 0.000 0.500 1
Ge2 Ge 0.000 0.500 0.750 1
Ge3 Ge 0.500 0.000 0.250 1
Ge4 Ge 0.500 0.500 0.000 1
Pd1 Pd 0.233 0.750 0.625 1
Pd2 Pd 0.250 0.233 0.375 1
Pd3 Pd 0.250 0.267 0.875 1
Pd4 Pd 0.267 0.750 0.125 1
Pd5 Pd 0.733 0.250 0.125 1
Pd6 Pd 0.750 0.733 0.875 1
Pd7 Pd 0.750 0.767 0.375 1
Pd8 Pd 0.767 0.250 0.625 1
```

Results
As for the total energy: -0.3580 Ry per atom. For the energy of formation, the calculation gives -96 meV per atom. For the calculated density, the calculation gives 9.12 g/cm³.

***

First-principles (PBE-GGA) data for CoB after structural relaxation, as listed in Alexandria via LeMat-Bulk.

CIF file:
```
data_CoB
_chemical_formula_sum 'Co6 B6'
_symmetry_space_group_name_H-M 'P 1'
_symmetry_Int_Tables_number 1
_cell_length_a 2.973
_cell_length_b 2.973
_cell_length_c 13.397
_cell_angle_alpha 90.00
_cell_angle_beta 90.00
_cell_angle_gamma 120.00
loop_
_symmetry_equiv_pos_as_xyz
'x,y,z'
loop_
_atom_site_label
_atom_site_type_symbol
_atom_site_fract_x
_atom_site_fract_y
_atom_site_fract_z
_atom_site_occupancy
Co1 Co 0.000 0.000 0.091 1
Co2 Co 0.000 0.000 0.909 1
Co3 Co 0.333 0.667 0.576 1
Co4 Co 0.333 0.667 0.758 1
Co5 Co 0.667 0.333 0.242 1
Co6 Co 0.667 0.333 0.424 1
B1 B 0.000 0.000 0.329 1
B2 B 0.000 0.000 0.671 1
B3 B 0.333 0.667 0.338 1
B4 B 0.333 0.667 0.996 1
B5 B 0.667 0.333 0.004 1
B6 B 0.667 0.333 0.662 1
```

Results
As for the total energy: -0.5175 Ry per atom. For the energy of formation, the calculation gives -149 meV per atom. For the calculated density, the calculation gives 6.78 g/cm³.

***

First-principles (PBE-GGA) data for HgHO2 after structural relaxation, as listed in Alexandria via LeMat-Bulk.

CIF file:
```
data_HgHO2
_chemical_formula_sum 'Hg4 H4 O8'
_symmetry_space_group_name_H-M 'P 1'
_symmetry_Int_Tables_number 1
_cell_length_a 4.260
_cell_length_b 4.260
_cell_length_c 9.010
_cell_angle_alpha 90.00
_cell_angle_beta 90.00
_cell_angle_gamma 90.00
loop_
_symmetry_equiv_pos_as_xyz
'x,y,z'
loop_
_atom_site_label
_atom_site_type_symbol
_atom_site_fract_x
_atom_site_fract_y
_atom_site_fract_z
_atom_site_occupancy
Hg1 Hg 0.000 0.000 0.000 1
Hg2 Hg 0.000 0.500 0.250 1
Hg3 Hg 0.500 0.000 0.750 1
Hg4 Hg 0.500 0.500 0.500 1
H1 H 0.000 0.000 0.500 1
H2 H 0.000 0.500 0.750 1
H3 H 0.500 0.000 0.250 1
H4 H 0.500 0.500 0.000 1
O1 O 0.089 0.250 0.625 1
O2 O 0.250 0.589 0.875 1
O3 O 0.250 0.911 0.375 1
O4 O 0.411 0.250 0.125 1
O5 O 0.589 0.750 0.125 1
O6 O 0.750 0.089 0.375 1
O7 O 0.750 0.411 0.875 1
O8 O 0.911 0.750 0.625 1
```

Results
As for the total energy: -0.2258 Ry per atom. As for the excess energy over the best structure of this formula in the dataset: 607 meV/atom. For the calculated density, the calculation gives 9.49 g/cm³.